[1]
Compound: Y3HoPd2
Source: Alexandria via LeMat-Bulk
Functional: PBE-GGA
Structure: optimized geometry

Summary:
Crystal system: orthorhombic
Density of states at the Fermi level in states/eV/f.u.: 6.335
SG: Ibam
DFT formation energy in eV per atom: -0.50

Lattice parameters (Å, degrees): 8.4639 8.4639 8.4639 131.79 71.96 130.03
Positions (direct):
Y (0.0164, 0.7500, 0.2664)
Y (0.2500, 0.2500, 0.0000)
Y (0.4836, 0.7500, 0.7336)
Y (0.5164, 0.2500, 0.2664)
Y (0.7500, 0.7500, 0.0000)
Y (0.9836, 0.2500, 0.7336)
Ho (0.0000, 0.5000, 0.5000)
Ho (0.5000, 0.0000, 0.5000)
Pd (0.1394, 0.2109, 0.3502)
Pd (0.3606, 0.7109, 0.0715)
Pd (0.6394, 0.2891, 0.9285)
Pd (0.8606, 0.7891, 0.6498)


[2]
Compound: Y2HoPd
Source: Alexandria via LeMat-Bulk
Functional: PBE-GGA
Structure: optimized geometry

Summary:
Crystal system: tetragonal
Density of states at the Fermi level in states/eV/f.u.: 4.946
SG: P4/mmm
DFT formation energy in eV per atom: -0.40

Lattice parameters (Å, degrees): 3.5839 3.5839 8.4140 90.00 90.00 90.00
Positions (direct):
Y (0.0000, 0.0000, 0.2004)
Y (0.0000, 0.0000, 0.7996)
Ho (0.5000, 0.5000, 0.5000)
Pd (0.5000, 0.5000, 0.0000)


[3]
Compound: YHo3Pd3
Source: Alexandria via LeMat-Bulk
Functional: PBE-GGA
Structure: optimized geometry

Summary:
Crystal system: monoclinic
Density of states at the Fermi level in states/eV/f.u.: 5.088
SG: C2/m
DFT formation energy in eV per atom: -0.70

Lattice parameters (Å, degrees): 6.9444 6.9444 7.0729 91.36 91.36 97.32
Positions (direct):
Y (0.2353, 0.2353, 0.3787)
Y (0.7647, 0.7647, 0.6213)
Ho (0.1528, 0.1528, 0.8665)
Ho (0.2510, 0.7490, 0.5000)
Ho (0.3229, 0.6771, 0.0000)
Ho (0.6771, 0.3229, 0.0000)
Ho (0.7490, 0.2510, 0.5000)
Ho (0.8472, 0.8472, 0.1335)
Pd (0.0045, 0.5106, 0.7780)
Pd (0.4390, 0.4390, 0.6945)
Pd (0.4894, 0.9955, 0.2220)
Pd (0.5106, 0.0045, 0.7780)
Pd (0.5610, 0.5610, 0.3055)
Pd (0.9955, 0.4894, 0.2220)


Across the entries above, E above lowest polymorph takes the values 97.9 75.7 5.0 meV per atom, respectively.